1.
meta-GGA SCAN LiIn2Hg, PBEsol geometry; space-group type = C2/m, No. 12; N(E_F) = 0.364 states/eV per atom; ΔH_f (0 K) = -15.3 kJ/mol of atoms; calculated volume = 88 Å³/f.u.; spin magnetization = 0.000 μB per formula unit
1.0
9.5585 0.0000 0.0000
0.0000 3.4037 0.0000
-1.0357 0.0000 5.3907
Li In Hg
2 4 2
Cartesian
0.0000 0.0000 0.0000 Li
4.7793 1.7019 0.0000 Li
2.1308 1.7019 1.2885 In
1.6127 0.0000 4.1023 In
6.9101 0.0000 1.2885 In
6.3920 1.7019 4.1023 In
-0.5179 1.7019 2.6954 Hg
4.2614 0.0000 2.6954 Hg

2.
meta-GGA SCAN LaAsWBr2, PBEsol geometry; space-group type = P4/mmm, No. 123; uncorrected energy = -169.2 eV for the cell shown; N(E_F) = 0.823 states/eV per atom; calculated volume = 183 Å³/f.u.; spin magnetization = 3.997 μB per formula unit
1.0
5.5454 0.0000 0.0000
0.0000 5.5454 0.0000
0.0000 0.0000 5.9568
La As W Br
1 1 1 2
Cartesian
0.0000 0.0000 0.0000 La
0.0000 0.0000 2.9784 As
2.7727 2.7727 2.9784 W
0.0000 2.7727 0.0000 Br
2.7727 0.0000 0.0000 Br

3.
meta-GGA SCAN Na2BeN, PBEsol geometry; space-group type = I-42d, No. 122; uncorrected energy = -94.1 eV for the cell shown; N(E_F) = 0.178 states/eV per atom; calculated volume = 76 Å³/f.u.; spin magnetization = 0.000 μB per formula unit
1.0
9.9372 0.0000 0.0000
0.0000 9.9372 0.0000
0.0000 0.0000 3.0617
Na Be N
8 4 4
Cartesian
0.6518 7.4529 0.3827 Na
2.4843 0.6518 2.6790 Na
2.4843 4.3168 1.1481 Na
4.3168 7.4529 1.9136 Na
5.6204 2.4843 1.9136 Na
7.4529 5.6204 1.1481 Na
7.4529 9.2854 2.6790 Na
9.2854 2.4843 0.3827 Na
0.0000 0.0000 1.5309 Be
0.0000 4.9686 2.2963 Be
4.9686 0.0000 0.7654 Be
4.9686 4.9686 0.0000 Be
0.0000 0.0000 0.0000 N
0.0000 4.9686 0.7654 N
4.9686 0.0000 2.2963 N
4.9686 4.9686 1.5309 N

4.
meta-GGA SCAN BeRe3, PBEsol geometry; energy relative to the lowest polymorph listed for this composition = 250.2 meV/atom; space-group type = Pm-3m, No. 221; N(E_F) = 0.927 states/eV per atom; ΔH_f (0 K) = 26.9 kJ/mol of atoms; calculated volume = 54 Å³/f.u.; spin magnetization = 0.000 μB per formula unit
1.0
3.7764 0.0000 0.0000
0.0000 3.7764 0.0000
0.0000 0.0000 3.7764
Be Re
1 3
Cartesian
0.0000 0.0000 0.0000 Be
0.0000 1.8882 1.8882 Re
1.8882 0.0000 1.8882 Re
1.8882 1.8882 0.0000 Re

5.
meta-GGA SCAN YTlSb2, PBEsol geometry; energy relative to the lowest polymorph listed for this composition = 95.4 meV/atom; space-group type = I4/mmm, No. 139; N(E_F) = 0.366 states/eV per atom; calculated volume = 104 Å³/f.u.; spin magnetization = 0.000 μB per formula unit
1.0
4.7543 0.0000 0.0000
0.0000 4.7543 0.0000
0.0000 0.0000 9.2357
Y Tl Sb
2 2 4
Cartesian
0.0000 0.0000 0.0000 Y
2.3772 2.3772 4.6179 Y
0.0000 0.0000 4.6179 Tl
2.3772 2.3772 0.0000 Tl
0.0000 2.3772 2.3089 Sb
0.0000 2.3772 6.9268 Sb
2.3772 0.0000 2.3089 Sb
2.3772 0.0000 6.9268 Sb

6.
meta-GGA SCAN KScTe2N, PBEsol geometry; energy relative to the lowest polymorph listed for this composition = 1383.8 meV/atom; space-group type = P4/mmm, No. 123; N(E_F) = 0.440 states/eV per atom; calculated volume = 151 Å³/f.u.; spin magnetization = 3.003 μB per formula unit
1.0
5.8088 0.0000 0.0000
0.0000 5.8088 0.0000
0.0000 0.0000 4.4891
K Sc Te N
1 1 2 1
Cartesian
0.0000 0.0000 0.0000 K
2.9044 2.9044 2.2446 Sc
0.0000 2.9044 0.0000 Te
2.9044 0.0000 0.0000 Te
0.0000 0.0000 2.2446 N

7.
meta-GGA SCAN PPd4, PBEsol geometry; space-group type = Pm, No. 6; N(E_F) = 0.352 states/eV per atom; ΔH_f (0 K) = -40.7 kJ/mol of atoms; calculated volume = 72 Å³/f.u.; spin magnetization = 0.000 μB per formula unit
1.0
5.0958 0.0000 0.0000
0.0000 7.4731 0.0000
-0.0049 0.0000 5.6660
P Pd
3 12
Cartesian
0.0000 0.0000 0.0000 P
0.4235 3.7365 4.3349 P
2.9761 0.0000 2.7817 P
0.8172 0.0000 2.1099 Pd
1.0851 2.3362 0.3913 Pd
1.0851 5.1368 0.3913 Pd
1.8966 2.3587 3.1414 Pd
1.8966 5.1144 3.1414 Pd
2.1248 0.0000 4.9047 Pd
3.3847 3.7365 5.2095 Pd
3.6195 1.4489 1.1307 Pd
3.6195 6.0242 1.1307 Pd
4.4280 1.4401 3.9990 Pd
4.4280 6.0329 3.9990 Pd
4.5316 3.7365 2.2827 Pd

8.
meta-GGA SCAN SrCd, PBEsol geometry; space-group type = P-3m1, No. 164; N(E_F) = 0.698 states/eV per atom; ΔH_f (0 K) = -10.6 kJ/mol of atoms; calculated volume = 77 Å³/f.u.; spin magnetization = 0.066 μB per formula unit
1.0
4.4057 0.0000 0.0000
-2.2029 3.8155 0.0000
0.0000 0.0000 9.1800
Sr Cd
2 2
Cartesian
0.0000 2.5437 1.7182 Sr
2.2029 1.2718 7.4618 Sr
0.0000 2.5437 5.2523 Cd
2.2029 1.2718 3.9278 Cd

Which value of calculated volume does entry 3 give?
76 Å³/f.u.